Record 1
The following is a PBE calculation of crystalline LuScMnGa at its relaxed geometry, from the Alexandria database.

Space group = F-43m (216)
Calculated formation energy = -0.79 eV per formula unit
Density = 7248 kg/m3
N(E_F) = 1.5353 states/eV per atom

Lattice parameters (Å, degrees): 4.815 4.815 4.815 60.00 60.00 60.00
Fractional positions:
Lu: 0.000 0.000 0.000
Sc: 0.500 0.500 0.500
Mn: 0.250 0.250 0.250
Ga: 0.750 0.750 0.750



Record 2
The following is a PBE calculation of crystalline SmLuMnGa at its relaxed geometry, from the Alexandria database.

Space group = F-43m (216)
Calculated formation energy = -0.59 eV per formula unit
Density = 8263 kg/m3
N(E_F) = 1.1122 states/eV per atom

Lattice parameters (Å, degrees): 5.038 5.038 5.038 60.00 60.00 60.00
Fractional positions:
Sm: 0.000 0.000 0.000
Lu: 0.500 0.500 0.500
Mn: 0.250 0.250 0.250
Ga: 0.750 0.750 0.750



Record 3
The following is a PBE calculation of crystalline TbLuMnGa at its relaxed geometry, from the Alexandria database.

Space group = F-43m (216)
Calculated formation energy = -0.67 eV per formula unit
Density = 8648 kg/m3
N(E_F) = 1.1451 states/eV per atom

Lattice parameters (Å, degrees): 4.994 4.994 4.994 60.00 60.00 60.00
Fractional positions:
Tb: 0.000 0.000 0.000
Lu: 0.500 0.500 0.500
Mn: 0.750 0.750 0.750
Ga: 0.250 0.250 0.250



Record 4
The following is a PBE calculation of crystalline LuThMnGa at its relaxed geometry, from the Alexandria database.

Space group = F-43m (216)
Calculated formation energy = -0.44 eV per formula unit
Density = 9697 kg/m3
N(E_F) = 0.7731 states/eV per atom

Lattice parameters (Å, degrees): 5.050 5.050 5.050 60.00 60.00 60.00
Fractional positions:
Lu: 0.000 0.000 0.000
Th: 0.500 0.500 0.500
Mn: 0.750 0.750 0.750
Ga: 0.250 0.250 0.250



Record 5
The following is a PBE calculation of crystalline YLuMnGa at its relaxed geometry, from the Alexandria database.

Space group = F-43m (216)
Calculated formation energy = -0.69 eV per formula unit
Density = 7323 kg/m3
N(E_F) = 1.2360 states/eV per atom

Lattice parameters (Å, degrees): 4.995 4.995 4.995 60.00 60.00 60.00
Fractional positions:
Y: 0.000 0.000 0.000
Lu: 0.500 0.500 0.500
Mn: 0.750 0.750 0.750
Ga: 0.250 0.250 0.250



Record 6
The following is a PBE calculation of crystalline LuZrMnGa at its relaxed geometry, from the Alexandria database.

Space group = F-43m (216)
Calculated formation energy = -0.61 eV per formula unit
Density = 8802 kg/m3
N(E_F) = 0.6242 states/eV per atom

Lattice parameters (Å, degrees): 4.707 4.707 4.707 60.00 60.00 60.00
Fractional positions:
Lu: 0.000 0.000 0.000
Zr: 0.500 0.500 0.500
Mn: 0.750 0.750 0.750
Ga: 0.250 0.250 0.250



Record 7
The following is a PBE calculation of crystalline LuGa4Mo at its relaxed geometry, from the Alexandria database.

Space group = F-43m (216)
Calculated formation energy = -0.93 eV per formula unit
Density = 9107 kg/m3
N(E_F) = 0.4368 states/eV per atom

Lattice parameters (Å, degrees): 5.214 5.214 5.214 60.00 60.00 60.00
Fractional positions:
Lu: 0.000 0.000 0.000
Ga: 0.375 0.375 0.375
Ga: 0.375 0.375 0.875
Ga: 0.375 0.875 0.375
Ga: 0.875 0.375 0.375
Mo: 0.750 0.750 0.750



Record 8
The following is a PBE calculation of crystalline LuGa2Mo at its relaxed geometry, from the Alexandria database.

Space group = R-3m (166)
Calculated formation energy = 0.02 eV per formula unit
Density = 9134 kg/m3
N(E_F) = 0.6528 states/eV per atom

Lattice parameters (Å, degrees): 9.419 9.419 9.419 18.64 18.64 18.64
Fractional positions:
Lu: 0.000 0.000 0.000
Ga: 0.242 0.242 0.242
Ga: 0.758 0.758 0.758
Mo: 0.500 0.500 0.500



Record 9
The following is a PBE calculation of crystalline LuPaGaMo at its relaxed geometry, from the Alexandria database.

Space group = F-43m (216)
Calculated formation energy = -0.16 eV per formula unit
Density = 11142 kg/m3
N(E_F) = 0.7600 states/eV per atom

Lattice parameters (Å, degrees): 4.939 4.939 4.939 60.00 60.00 60.00
Fractional positions:
Lu: 0.000 0.000 0.000
Pa: 0.500 0.500 0.500
Ga: 0.750 0.750 0.750
Mo: 0.250 0.250 0.250



Record 10
The following is a PBE calculation of crystalline NaLu2Ga at its relaxed geometry, from the Alexandria database.

Space group = R-3m (166)
Calculated formation energy = -0.07 eV per formula unit
Density = 6327 kg/m3
N(E_F) = 0.9791 states/eV per atom

Lattice parameters (Å, degrees): 11.311 11.311 11.311 17.65 17.65 17.65
Fractional positions:
Na: 0.000 0.000 0.000
Lu: 0.103 0.103 0.103
Lu: 0.897 0.897 0.897
Ga: 0.500 0.500 0.500



Record 11
The following is a PBE calculation of crystalline NaLuGa4 at its relaxed geometry, from the Alexandria database.

Space group = F-43m (216)
Calculated formation energy = -1.65 eV per formula unit
Density = 6741 kg/m3
N(E_F) = 0.5970 states/eV per atom

Lattice parameters (Å, degrees): 5.497 5.497 5.497 60.00 60.00 60.00
Fractional positions:
Na: 0.000 0.000 0.000
Lu: 0.750 0.750 0.750
Ga: 0.375 0.375 0.375
Ga: 0.375 0.375 0.874
Ga: 0.375 0.874 0.375
Ga: 0.874 0.375 0.375



Record 12
The following is a PBE calculation of crystalline NaLuGaPb at its relaxed geometry, from the Alexandria database.

Space group = F-43m (216)
Calculated formation energy = -0.80 eV per formula unit
Density = 7918 kg/m3
N(E_F) = 0.4078 states/eV per atom

Lattice parameters (Å, degrees): 5.203 5.203 5.203 60.00 60.00 60.00
Fractional positions:
Na: 0.000 0.000 0.000
Lu: 0.500 0.500 0.500
Ga: 0.250 0.250 0.250
Pb: 0.750 0.750 0.750



Record 13
The following is a PBE calculation of crystalline NaLuTlGa at its relaxed geometry, from the Alexandria database.

Space group = F-43m (216)
Calculated formation energy = -0.79 eV per formula unit
Density = 8186 kg/m3
N(E_F) = 0.4098 states/eV per atom

Lattice parameters (Å, degrees): 5.135 5.135 5.135 60.00 60.00 60.00
Fractional positions:
Na: 0.000 0.000 0.000
Lu: 0.500 0.500 0.500
Tl: 0.250 0.250 0.250
Ga: 0.750 0.750 0.750



Record 14
The following is a PBE calculation of crystalline LuNbGa4 at its relaxed geometry, from the Alexandria database.

Space group = F-43m (216)
Calculated formation energy = -2.05 eV per formula unit
Density = 8786 kg/m3

Lattice parameters (Å, degrees): 5.267 5.267 5.267 60.00 60.00 60.00
Fractional positions:
Lu: 0.000 0.000 0.000
Nb: 0.250 0.250 0.250
Ga: 0.126 0.625 0.625
Ga: 0.625 0.126 0.625
Ga: 0.625 0.625 0.126
Ga: 0.625 0.625 0.625



Record 15
The following is a PBE calculation of crystalline LuNbGa2 at its relaxed geometry, from the Alexandria database.

Space group = P4/mmm (123)
Calculated formation energy = -1.36 eV per formula unit
Relative energy among the computed polymorphs = 0.000 eV/atom
Density = 8941 kg/m3
N(E_F) = 0.5010 states/eV per atom

Lattice parameters (Å, degrees): 3.525 3.525 6.088 90.00 90.00 90.00
Fractional positions:
Lu: 0.000 0.000 0.000
Nb: 0.000 0.000 0.500
Ga: 0.500 0.500 0.284
Ga: 0.500 0.500 0.716



Record 16
The following is a PBE calculation of crystalline LuNbGa2 at its relaxed geometry, from the Alexandria database.

Space group = R-3m (166)
Calculated formation energy = -0.62 eV per formula unit
Relative energy among the computed polymorphs = 0.185 eV/atom
Density = 8478 kg/m3
N(E_F) = 0.5797 states/eV per atom

Lattice parameters (Å, degrees): 9.074 9.074 9.074 20.45 20.45 20.45
Fractional positions:
Lu: 0.000 0.000 0.000
Nb: 0.500 0.500 0.500
Ga: 0.245 0.245 0.245
Ga: 0.755 0.755 0.755



Record 17
The following is a PBE calculation of crystalline LuNbGaOs at its relaxed geometry, from the Alexandria database.

Space group = F-43m (216)
Calculated formation energy = -0.76 eV per formula unit
Density = 12201 kg/m3
N(E_F) = 0.8807 states/eV per atom

Lattice parameters (Å, degrees): 4.666 4.666 4.666 60.00 60.00 60.00
Fractional positions:
Lu: 0.000 0.000 0.000
Nb: 0.500 0.500 0.500
Ga: 0.250 0.250 0.250
Os: 0.750 0.750 0.750



Record 18
The following is a PBE calculation of crystalline LuNbGaRu at its relaxed geometry, from the Alexandria database.

Space group = F-43m (216)
Calculated formation energy = -1.03 eV per formula unit
Density = 10132 kg/m3
N(E_F) = 0.7706 states/eV per atom

Lattice parameters (Å, degrees): 4.667 4.667 4.667 60.00 60.00 60.00
Fractional positions:
Lu: 0.000 0.000 0.000
Nb: 0.500 0.500 0.500
Ga: 0.750 0.750 0.750
Ru: 0.250 0.250 0.250



Record 19
The following is a PBE calculation of crystalline LuNbGaTc at its relaxed geometry, from the Alexandria database.

Space group = F-43m (216)
Calculated formation energy = -0.90 eV per formula unit
Density = 10030 kg/m3
N(E_F) = 0.6322 states/eV per atom

Lattice parameters (Å, degrees): 4.672 4.672 4.672 60.00 60.00 60.00
Fractional positions:
Lu: 0.000 0.000 0.000
Nb: 0.500 0.500 0.500
Ga: 0.750 0.750 0.750
Tc: 0.250 0.250 0.250



Record 20
The following is a PBE calculation of crystalline NdLuGa at its relaxed geometry, from the Alexandria database.

Space group = I4mm (107)
Calculated formation energy = -1.05 eV per formula unit
Relative energy among the computed polymorphs = 0.000 eV/atom
Density = 8041 kg/m3
N(E_F) = 0.6683 states/eV per atom

Lattice parameters (Å, degrees): 6.981 6.981 6.981 150.89 150.89 41.63
Fractional positions:
Nd: 0.000 0.000 0.000
Lu: 0.290 0.290 0.000
Ga: 0.656 0.656 0.000



Record 21
The following is a PBE calculation of crystalline Nd2LuGa at its relaxed geometry, from the Alexandria database.

Space group = P4/mmm (123)
Calculated formation energy = -0.91 eV per formula unit
Relative energy among the computed polymorphs = 0.000 eV/atom
Density = 8017 kg/m3
N(E_F) = 1.1959 states/eV per atom

Lattice parameters (Å, degrees): 4.783 4.783 4.827 90.00 90.00 90.00
Fractional positions:
Nd: 0.000 0.500 0.000
Nd: 0.500 0.000 0.000
Lu: 0.000 0.000 0.500
Ga: 0.500 0.500 0.500



Record 22
The following is a PBE calculation of crystalline NdLuGa at its relaxed geometry, from the Alexandria database.

Space group = F-43m (216)
Calculated formation energy = -0.68 eV per formula unit
Relative energy among the computed polymorphs = 0.123 eV/atom
Density = 7321 kg/m3
N(E_F) = 1.5851 states/eV per atom

Lattice parameters (Å, degrees): 4.997 4.997 4.997 60.00 60.00 60.00
Fractional positions:
Nd: 0.000 0.000 0.000
Lu: 0.500 0.500 0.500
Ga: 0.250 0.250 0.250



Record 23
The following is a PBE calculation of crystalline Nd2LuGa at its relaxed geometry, from the Alexandria database.

Space group = P4/mmm (123)
Calculated formation energy = -0.88 eV per formula unit
Relative energy among the computed polymorphs = 0.007 eV/atom
Density = 7593 kg/m3
N(E_F) = 1.2525 states/eV per atom

Lattice parameters (Å, degrees): 3.609 3.609 8.954 90.00 90.00 90.00
Fractional positions:
Nd: 0.000 0.000 0.214
Nd: 0.000 0.000 0.786
Lu: 0.500 0.500 0.500
Ga: 0.500 0.500 0.000



Record 24
The following is a PBE calculation of crystalline NdLuGa4 at its relaxed geometry, from the Alexandria database.

Space group = F-43m (216)
Calculated formation energy = -3.08 eV per formula unit
Density = 8229 kg/m3
N(E_F) = 0.7300 states/eV per atom

Lattice parameters (Å, degrees): 5.547 5.547 5.547 60.00 60.00 60.00
Fractional positions:
Nd: 0.000 0.000 0.000
Lu: 0.750 0.750 0.750
Ga: 0.375 0.375 0.375
Ga: 0.375 0.375 0.875
Ga: 0.375 0.875 0.375
Ga: 0.875 0.375 0.375



Record 25
The following is a PBE calculation of crystalline Nd2LuGa at its relaxed geometry, from the Alexandria database.

Space group = Fm-3m (225)
Calculated formation energy = -0.47 eV per formula unit
Relative energy among the computed polymorphs = 0.108 eV/atom
Density = 7935 kg/m3
N(E_F) = 1.6646 states/eV per atom

Lattice parameters (Å, degrees): 5.404 5.404 5.404 60.00 60.00 60.00
Fractional positions:
Nd: 0.250 0.250 0.250
Nd: 0.750 0.750 0.750
Lu: 0.000 0.000 0.000
Ga: 0.500 0.500 0.500



Record 26
The following is a PBE calculation of crystalline NdLuGaOs at its relaxed geometry, from the Alexandria database.

Space group = F-43m (216)
Calculated formation energy = -1.11 eV per formula unit
Density = 11116 kg/m3
N(E_F) = 0.7033 states/eV per atom

Lattice parameters (Å, degrees): 4.965 4.965 4.965 60.00 60.00 60.00
Fractional positions:
Nd: 0.000 0.000 0.000
Lu: 0.500 0.500 0.500
Ga: 0.750 0.750 0.750
Os: 0.250 0.250 0.250



Record 27
The following is a PBE calculation of crystalline NdLuGaPb at its relaxed geometry, from the Alexandria database.

Space group = F-43m (216)
Calculated formation energy = -1.59 eV per formula unit
Density = 9330 kg/m3
N(E_F) = 0.7634 states/eV per atom

Lattice parameters (Å, degrees): 5.314 5.314 5.314 60.00 60.00 60.00
Fractional positions:
Nd: 0.000 0.000 0.000
Lu: 0.500 0.500 0.500
Ga: 0.250 0.250 0.250
Pb: 0.750 0.750 0.750



Record 28
The following is a PBE calculation of crystalline NdLuScGa at its relaxed geometry, from the Alexandria database.

Space group = F-43m (216)
Calculated formation energy = -0.51 eV per formula unit
Density = 7126 kg/m3
N(E_F) = 1.3199 states/eV per atom

Lattice parameters (Å, degrees): 5.229 5.229 5.229 60.00 60.00 60.00
Fractional positions:
Nd: 0.000 0.000 0.000
Lu: 0.500 0.500 0.500
Sc: 0.250 0.250 0.250
Ga: 0.750 0.750 0.750



Record 29
The following is a PBE calculation of crystalline NdSmLuGa at its relaxed geometry, from the Alexandria database.

Space group = F-43m (216)
Calculated formation energy = -0.47 eV per formula unit
Density = 8133 kg/m3
N(E_F) = 1.7154 states/eV per atom

Lattice parameters (Å, degrees): 5.380 5.380 5.380 60.00 60.00 60.00
Fractional positions:
Nd: 0.000 0.000 0.000
Sm: 0.500 0.500 0.500
Lu: 0.250 0.250 0.250
Ga: 0.750 0.750 0.750



Record 30
The following is a PBE calculation of crystalline NdLuTlGa at its relaxed geometry, from the Alexandria database.

Space group = F-43m (216)
Calculated formation energy = -1.60 eV per formula unit
Density = 9555 kg/m3
N(E_F) = 0.4028 states/eV per atom

Lattice parameters (Å, degrees): 5.264 5.264 5.264 60.00 60.00 60.00
Fractional positions:
Nd: 0.000 0.000 0.000
Lu: 0.500 0.500 0.500
Tl: 0.250 0.250 0.250
Ga: 0.750 0.750 0.750